RbBa2Cr2O6 after structural relaxation. Source: Alexandria, functional PBE with a Hubbard U.

```
RbBa2Cr2O6
1.0
3.0776 1.7769 7.2202
-3.0776 1.7769 7.2202
0.0000 -3.5537 7.2202
Rb Ba Cr O
1 2 2 6
Direct
0.0000 0.0000 0.0000 Rb
0.1960 0.1960 0.1960 Ba
0.8040 0.8040 0.8040 Ba
0.4280 0.4280 0.4280 Cr
0.5720 0.5720 0.5720 Cr
0.2337 0.7282 0.7282 O
0.2718 0.2718 0.7663 O
0.2718 0.7663 0.2718 O
0.7282 0.2337 0.7282 O
0.7282 0.7282 0.2337 O
0.7663 0.2718 0.2718 O
```

Total moment   5.0 μB per cell
VASP energy   -69.469 eV per cell
Space-group type   R-3m